First-principles (PBE) data for a relaxed TaHg2Rh crystal, as listed in Alexandria.

**Calculated density**: 15.3 Mg/m³
**Size of the total moment**: 0.00 μB/cell
**Calculated volume**: 18.561 A^3/atom
**DFT formation energy**: 385 meV/atom
**Energy above the most stable polymorph in this dataset**: 378 meV per atom

Cell: 4.023 4.023 4.589 Å, 90.00 90.00 90.00°
Fractional positions:
Ta (0.000, 0.000, 0.000)
Hg (0.000, 0.500, 0.500)
Hg (0.500, 0.000, 0.500)
Rh (0.500, 0.500, 0.000)